Entry 1:
A plane-wave DFT calculation with GGA-PBEsol was carried out for crystalline Al2InFe at its relaxed geometry.

## Properties
electronic total energy: -19.92 eV per cell
calculated density: 5.49 g/cm³
formation energy from the elements: 0.05 eV/atom
SG: Immm, No. 71

Cell lengths 6.234, 6.234, 6.234 Å; angles 155.09, 138.06, 49.39 degrees
Fractional coordinates of all 4 atoms:
Al (0.188, 0.188, 0.000)
Al (0.812, 0.812, 0.000)
In (0.500, 0.000, 0.500)
Fe (0.000, 0.500, 0.500)


Entry 2:
A plane-wave DFT calculation with GGA-PBEsol was carried out for crystalline Al2InFe at its relaxed geometry.

## Properties
electronic total energy: -18.89 eV per cell
calculated density: 6.21 g/cm³
formation energy from the elements: 0.31 eV/atom
SG: F-43m, No. 216

Cell lengths 4.395, 4.395, 4.395 Å; angles 60.00, 60.00, 60.00 degrees
Fractional coordinates of all 4 atoms:
Al (0.000, 0.000, 0.000)
Al (0.250, 0.250, 0.250)
In (0.500, 0.500, 0.500)
Fe (0.750, 0.750, 0.750)


Calculated volume
In order: 17.0, 15.0
Unit: Å³/atom